1.
Compound: LiCd2Hg2Pb
Source: Alexandria
Functional: PBE
Structure: relaxed

VASP energy: -1.384 eV per atom

abc: 4.7417 4.7417 23.7555
angles: 90.00 90.00 120.00
Space group R-3m (No. 166, hexagonal axes)
Unique sites:
Li1 0.0000 0.0000 0.0000 (multiplicity 3)
Cd1 0.0000 0.0000 0.2356 (multiplicity 6)
Hg1 0.0000 0.0000 0.3666 (multiplicity 6)
Pb1 0.0000 0.0000 0.5000 (multiplicity 3)

---

2.
Compound: Li5Cd2HgPd2
Source: Alexandria
Functional: PBE
Structure: relaxed

VASP energy: -2.540 eV per atom

abc: 9.418 9.418 3.945
angles: 90.00 90.00 90.00
Space group P4/mbm (No. 127)
Unique sites:
Li1 0.000 0.500 0.000 (multiplicity 2)
Li2 0.073 0.205 0.000 (multiplicity 8)
Cd1 0.178 0.678 0.500 (multiplicity 4)
Hg1 0.000 0.000 0.500 (multiplicity 2)
Pd1 0.114 0.386 0.500 (multiplicity 4)

---

3.
Compound: LiCd3Hg3Pd2
Source: Alexandria
Functional: PBE
Structure: relaxed

VASP energy: -1.976 eV per atom

abc: 8.0931 8.0931 3.0699
angles: 90.00 90.00 120.00
Space group P-62m (No. 189)
Unique sites:
Li1 0.0000 0.0000 0.0000 (multiplicity 1)
Cd1 0.0000 0.3887 0.0000 (multiplicity 3)
Hg1 0.0000 0.7199 0.5000 (multiplicity 3)
Pd1 0.3333 0.6667 0.5000 (multiplicity 2)

---

4.
Compound: LiCdHgPd2
Source: Alexandria
Functional: PBE
Structure: relaxed

VASP energy: -2.945 eV per atom

abc: 3.019 15.576 7.715
angles: 90.00 90.00 90.00
Space group Cmcm (No. 63)
Unique sites:
Li1 0.000 0.084 0.250 (multiplicity 4)
Cd1 0.000 0.166 0.750 (multiplicity 4)
Hg1 0.000 0.500 0.000 (multiplicity 4)
Pd1 0.000 0.322 0.556 (multiplicity 8)

---

| no. | energy relative to the elements (eV/f.u.) | V (Å³/cell) | DOS(E_F) (states/eV per cell) |
| --- | --- | --- | --- |
| 1 | -0.250 | 462.5 | 8.13 |
| 2 | -3.317 | 349.9 | 7.22 |
| 3 | -1.832 | 174.1 | 2.00 |
| 4 | -1.208 | 362.7 | 6.80 |